VASP calculation (GGA-PBE) on a relaxed structure of LuInPdRh.

The formation enthalpy at 0 K comes out at -813 meV per atom. The density of states at the Fermi level comes out at 2.19 states/eV/f.u. As for the uncorrected energy: -23.1 eV/cell. The value obtained for the mass density is 11.3 Mg/m³.

Unit cell a=4.697 b=4.697 c=4.697 alpha=60.00 beta=60.00 gamma=60.00
Positions (direct):
Lu 0.250 0.250 0.250
Rh 0.500 0.500 0.500
In 0.750 0.750 0.750
Pd 0.000 0.000 0.000


VASP calculation (GGA-PBE) on a relaxed structure of LuInPdRu.

The formation enthalpy at 0 K comes out at -565 meV per atom. The density of states at the Fermi level comes out at 1.68 states/eV/f.u. As for the uncorrected energy: -24.0 eV/cell. The value obtained for the mass density is 11.4 Mg/m³.

Unit cell a=4.677 b=4.677 c=4.677 alpha=60.00 beta=60.00 gamma=60.00
Positions (direct):
Ru 0.750 0.750 0.750
Lu 0.500 0.500 0.500
Pd 0.250 0.250 0.250
In 0.000 0.000 0.000


VASP calculation (GGA-PBE) on a relaxed structure of LuScInPd.

The formation enthalpy at 0 K comes out at -609 meV per atom. The density of states at the Fermi level comes out at 3.39 states/eV/f.u. As for the uncorrected energy: -21.2 eV/cell. The value obtained for the mass density is 8.5 Mg/m³.

Unit cell a=4.966 b=4.966 c=4.966 alpha=60.00 beta=60.00 gamma=60.00
Positions (direct):
Sc 0.000 0.000 0.000
In 0.250 0.250 0.250
Pd 0.750 0.750 0.750
Lu 0.500 0.500 0.500


VASP calculation (GGA-PBE) on a relaxed structure of SmLuInPd.

The formation enthalpy at 0 K comes out at -585 meV per atom. The density of states at the Fermi level comes out at 3.40 states/eV/f.u. As for the uncorrected energy: -19.5 eV/cell. The value obtained for the mass density is 9.3 Mg/m³.

Unit cell a=5.164 b=5.164 c=5.164 alpha=60.00 beta=60.00 gamma=60.00
Positions (direct):
Lu 0.750 0.750 0.750
Sm 0.250 0.250 0.250
Pd 0.500 0.500 0.500
In 0.000 0.000 0.000


VASP calculation (GGA-PBE) on a relaxed structure of TbLuInPd.

The formation enthalpy at 0 K comes out at -610 meV per atom. The density of states at the Fermi level comes out at 3.62 states/eV/f.u. As for the uncorrected energy: -19.5 eV/cell. The value obtained for the mass density is 9.7 Mg/m³.

Unit cell a=5.119 b=5.119 c=5.119 alpha=60.00 beta=60.00 gamma=60.00
Positions (direct):
In 0.500 0.500 0.500
Lu 0.750 0.750 0.750
Pd 0.000 0.000 0.000
Tb 0.250 0.250 0.250


VASP calculation (GGA-PBE) on a relaxed structure of LuThInPd.

The formation enthalpy at 0 K comes out at -448 meV per atom. The density of states at the Fermi level comes out at 3.72 states/eV/f.u. As for the uncorrected energy: -21.7 eV/cell. The value obtained for the mass density is 10.4 Mg/m³.

Unit cell a=5.219 b=5.219 c=5.219 alpha=60.00 beta=60.00 gamma=60.00
Positions (direct):
Pd 0.000 0.000 0.000
Lu 0.250 0.250 0.250
Th 0.750 0.750 0.750
In 0.500 0.500 0.500


VASP calculation (GGA-PBE) on a relaxed structure of TmLuInPd.

The formation enthalpy at 0 K comes out at -625 meV per atom. The density of states at the Fermi level comes out at 3.54 states/eV/f.u. As for the uncorrected energy: -19.4 eV/cell. The value obtained for the mass density is 10.2 Mg/m³.

Unit cell a=5.074 b=5.074 c=5.074 alpha=60.00 beta=60.00 gamma=60.00
Positions (direct):
Lu 0.000 0.000 0.000
In 0.250 0.250 0.250
Pd 0.750 0.750 0.750
Tm 0.500 0.500 0.500


VASP calculation (GGA-PBE) on a relaxed structure of LuZrInPd.

The formation enthalpy at 0 K comes out at -439 meV per atom. The density of states at the Fermi level comes out at 4.16 states/eV/f.u. As for the uncorrected energy: -22.8 eV/cell. The value obtained for the mass density is 9.3 Mg/m³.

Unit cell a=4.974 b=4.974 c=4.974 alpha=60.00 beta=60.00 gamma=60.00
Each line ends with the local moment (μB).
Positions (direct):
Pd 0.500 0.500 0.500  -0.02
Zr 0.750 0.750 0.750  -0.22
Lu 0.250 0.250 0.250  -0.09
In 0.000 0.000 0.000  0.00


VASP calculation (GGA-PBE) on a relaxed structure of Pm2LuIn.

The formation enthalpy at 0 K comes out at -266 meV per atom. The calculation puts the relative energy among the computed polymorphs at 0 meV/atom. The density of states at the Fermi level comes out at 4.98 states/eV/f.u. As for the uncorrected energy: -17.8 eV/cell. The value obtained for the mass density is 8.2 Mg/m³.

Unit cell a=4.941 b=4.867 c=4.867 alpha=90.00 beta=90.00 gamma=90.00
Positions (direct):
Lu 0.500 0.500 0.500
Pm 0.000 0.000 0.500
In 0.500 0.000 0.000
Pm 0.000 0.500 0.000


VASP calculation (GGA-PBE) on a relaxed structure of PmLuIn2.

The formation enthalpy at 0 K comes out at -442 meV per atom. The density of states at the Fermi level comes out at 1.96 states/eV/f.u. As for the uncorrected energy: -16.5 eV/cell. The value obtained for the mass density is 8.5 Mg/m³.

Unit cell a=5.338 b=5.338 c=5.338 alpha=60.00 beta=60.00 gamma=60.00
Positions (direct):
In 0.500 0.500 0.500
In 0.000 0.000 0.000
Lu 0.750 0.750 0.750
Pm 0.250 0.250 0.250


VASP calculation (GGA-PBE) on a relaxed structure of Pm2LuIn.

The formation enthalpy at 0 K comes out at -164 meV per atom. The calculation puts the relative energy among the computed polymorphs at 102 meV/atom. The density of states at the Fermi level comes out at 6.99 states/eV/f.u. As for the uncorrected energy: -17.4 eV/cell. The value obtained for the mass density is 8.2 Mg/m³.

Unit cell a=5.507 b=5.507 c=5.507 alpha=60.00 beta=60.00 gamma=60.00
Positions (direct):
Lu 0.500 0.500 0.500
Pm 0.750 0.750 0.750
In 0.000 0.000 0.000
Pm 0.250 0.250 0.250


VASP calculation (GGA-PBE) on a relaxed structure of PmLuIn2.

The formation enthalpy at 0 K comes out at -297 meV per atom. The density of states at the Fermi level comes out at 2.73 states/eV/f.u. As for the uncorrected energy: -15.9 eV/cell. The value obtained for the mass density is 7.9 Mg/m³.

Unit cell a=3.682 b=3.682 c=10.037 alpha=79.43 beta=79.43 gamma=60.00
Positions (direct):
In 0.747 0.747 0.759
Lu 0.000 0.000 0.000
In 0.253 0.253 0.241
Pm 0.500 0.500 0.500


VASP calculation (GGA-PBE) on a relaxed structure of Pm2LuIn.

The formation enthalpy at 0 K comes out at -197 meV per atom. The calculation puts the relative energy among the computed polymorphs at 69 meV/atom. The density of states at the Fermi level comes out at 6.19 states/eV/f.u. As for the uncorrected energy: -17.6 eV/cell. The value obtained for the mass density is 7.9 Mg/m³.

Unit cell a=3.589 b=3.589 c=9.507 alpha=90.00 beta=90.00 gamma=90.00
Positions (direct):
In 0.500 0.500 0.000
Lu 0.500 0.500 0.500
Pm 0.000 0.000 0.769
Pm 0.000 0.000 0.231


VASP calculation (GGA-PBE) on a relaxed structure of PmLuIn2.

The formation enthalpy at 0 K comes out at -433 meV per atom. The density of states at the Fermi level comes out at 2.04 states/eV/f.u. As for the uncorrected energy: -16.5 eV/cell. The value obtained for the mass density is 8.5 Mg/m³.

Unit cell a=3.829 b=5.307 c=5.307 alpha=90.00 beta=90.00 gamma=90.00
Positions (direct):
Pm 0.500 0.500 0.500
In 0.000 0.000 0.500
In 0.000 0.500 0.000
Lu 0.500 0.000 0.000


VASP calculation (GGA-PBE) on a relaxed structure of PmLuIn2.

The formation enthalpy at 0 K comes out at -451 meV per atom. The density of states at the Fermi level comes out at 2.55 states/eV/f.u. As for the uncorrected energy: -16.6 eV/cell. The value obtained for the mass density is 8.5 Mg/m³.

Unit cell a=3.765 b=3.765 c=7.572 alpha=90.00 beta=90.00 gamma=90.00
Positions (direct):
In 0.000 0.000 0.766
In 0.000 0.000 0.234
Pm 0.500 0.500 0.500
Lu 0.500 0.500 0.000


VASP calculation (GGA-PBE) on a relaxed structure of PmPrLuIn.

The formation enthalpy at 0 K comes out at -164 meV per atom. The density of states at the Fermi level comes out at 7.06 states/eV/f.u. As for the uncorrected energy: -17.4 eV/cell. The value obtained for the mass density is 8.0 Mg/m³.

Unit cell a=5.538 b=5.538 c=5.538 alpha=60.00 beta=60.00 gamma=60.00
Positions (direct):
In 0.250 0.250 0.250
Pr 0.500 0.500 0.500
Lu 0.750 0.750 0.750
Pm 0.000 0.000 0.000


VASP calculation (GGA-PBE) on a relaxed structure of PmLuPuIn.

The formation enthalpy at 0 K comes out at 26 meV per atom. The density of states at the Fermi level comes out at 10.09 states/eV/f.u. As for the uncorrected energy: -26.2 eV/cell. The value obtained for the mass density is 10.0 Mg/m³.

Unit cell a=5.421 b=5.421 c=5.421 alpha=60.00 beta=60.00 gamma=60.00
Each line ends with the local moment (μB).
Positions (direct):
In 0.750 0.750 0.750  0.04
Pm 0.250 0.250 0.250  -0.34
Lu 0.000 0.000 0.000  -0.19
Pu 0.500 0.500 0.500  -5.54


VASP calculation (GGA-PBE) on a relaxed structure of PmLuScIn.

The formation enthalpy at 0 K comes out at -139 meV per atom. The density of states at the Fermi level comes out at 6.75 states/eV/f.u. As for the uncorrected energy: -18.9 eV/cell. The value obtained for the mass density is 7.4 Mg/m³.

Unit cell a=5.334 b=5.334 c=5.334 alpha=60.00 beta=60.00 gamma=60.00
Positions (direct):
Pm 0.500 0.500 0.500
Sc 0.000 0.000 0.000
Lu 0.250 0.250 0.250
In 0.750 0.750 0.750


VASP calculation (GGA-PBE) on a relaxed structure of PmSmLuIn.

The formation enthalpy at 0 K comes out at -161 meV per atom. The density of states at the Fermi level comes out at 6.88 states/eV/f.u. As for the uncorrected energy: -17.4 eV/cell. The value obtained for the mass density is 8.3 Mg/m³.

Unit cell a=5.497 b=5.497 c=5.497 alpha=60.00 beta=60.00 gamma=60.00
Positions (direct):
Lu 0.750 0.750 0.750
In 0.250 0.250 0.250
Pm 0.000 0.000 0.000
Sm 0.500 0.500 0.500


VASP calculation (GGA-PBE) on a relaxed structure of PmLuInSn.

The formation enthalpy at 0 K comes out at -472 meV per atom. The density of states at the Fermi level comes out at 3.82 states/eV/f.u. As for the uncorrected energy: -17.9 eV/cell. The value obtained for the mass density is 8.5 Mg/m³.

Unit cell a=5.355 b=5.355 c=5.355 alpha=60.00 beta=60.00 gamma=60.00
Positions (direct):
In 0.250 0.250 0.250
Lu 0.000 0.000 0.000
Sn 0.750 0.750 0.750
Pm 0.500 0.500 0.500